Record 1
The following is a PBE-GGA calculation of crystalline Pu3AuO3 at its relaxed geometry, from Alexandria via LeMat-Bulk.

The structure in POSCAR format:
```
Pu3AuO3
1.0
-1.6303 0.7329 3.3933
-6.6515 5.2603 -4.3319
-0.8973 -9.2517 1.5671
Pu Au O
6 2 6
Direct
0.2500 0.1381 0.4676 Pu
0.2500 0.6132 0.6919 Pu
0.2500 0.2437 0.9151 Pu
0.7500 0.8619 0.5324 Pu
0.7500 0.3868 0.3081 Pu
0.7500 0.7563 0.0849 Pu
0.2500 0.6091 0.2377 Au
0.7500 0.3909 0.7623 Au
0.2500 0.7816 0.9782 O
0.2500 0.0182 0.6416 O
0.2500 0.3435 0.4119 O
0.7500 0.2184 0.0218 O
0.7500 0.9818 0.3584 O
0.7500 0.6565 0.5881 O
```

Output
Its space group is No. 11.

=====

Record 2
The following is a PBE-GGA calculation of crystalline PuAu2O8 at its relaxed geometry, from Alexandria via LeMat-Bulk.

The structure in POSCAR format:
```
PuAu2O8
1.0
-2.1098 -4.8163 -2.1226
6.2430 -5.1161 -2.1705
-1.2426 -5.4533 6.0350
Pu Au O
2 4 16
Direct
0.0067 0.7500 0.2500 Pu
0.9933 0.2500 0.7500 Pu
0.9644 0.8448 0.8873 Au
0.3035 0.3448 0.3873 Au
0.6965 0.6552 0.6127 Au
0.0356 0.1552 0.1127 Au
0.2013 0.7687 0.6561 O
0.2045 0.9189 0.1915 O
0.7488 0.9110 0.1425 O
0.1996 0.1428 0.5087 O
0.2512 0.0890 0.8575 O
0.8512 0.3572 0.9913 O
0.8004 0.8572 0.4913 O
0.1976 0.4110 0.6425 O
0.1488 0.6428 0.0087 O
0.6260 0.7313 0.8439 O
0.6851 0.4189 0.6915 O
0.3149 0.5811 0.3085 O
0.3740 0.2687 0.1561 O
0.8024 0.5890 0.3575 O
0.7987 0.2313 0.3439 O
0.7955 0.0811 0.8085 O
```

Output
Its space group is No. 15.

=====

Record 3
The following is a PBE-GGA calculation of crystalline Pu2AuO8 at its relaxed geometry, from Alexandria via LeMat-Bulk.

The structure in POSCAR format:
```
Pu2AuO8
1.0
4.4638 0.0231 -0.2008
0.2002 6.1922 -4.3835
-0.2534 -1.0470 6.8956
Pu Au O
2 1 8
Direct
0.2276 0.3734 0.7363 Pu
0.7724 0.6266 0.2636 Pu
0.0000 0.0000 0.0000 Au
0.2586 0.5680 0.1442 O
0.7414 0.4320 0.8558 O
0.7464 0.9030 0.3288 O
0.2366 0.1909 0.3513 O
0.2102 0.6780 0.8302 O
0.2536 0.0970 0.6712 O
0.7634 0.8091 0.6487 O
0.7898 0.3220 0.1698 O
```

Output
Its space group is No. 2.

=====

Record 4
The following is a PBE-GGA calculation of crystalline PuAu3O6 at its relaxed geometry, from Alexandria via LeMat-Bulk.

The structure in POSCAR format:
```
PuAu3O6
1.0
-2.2193 0.7990 -4.0481
-7.3413 -0.6988 -0.2437
-5.1522 5.2665 -0.2586
Pu Au O
1 3 6
Direct
0.0000 0.0000 0.0000 Pu
0.5000 0.5000 0.0000 Au
0.5000 0.0000 0.5000 Au
0.5000 0.5000 0.5000 Au
0.6121 0.8264 0.3278 O
0.3879 0.1736 0.6722 O
0.6095 0.3273 0.8277 O
0.3905 0.6727 0.1723 O
0.1697 0.8040 0.8038 O
0.8303 0.1960 0.1962 O
```

Output
Its space group is No. 2.

=====

Record 5
The following is a PBE-GGA calculation of crystalline PuAuO at its relaxed geometry, from Alexandria via LeMat-Bulk.

The structure in POSCAR format:
```
PuAuO
1.0
-2.0432 -1.0029 2.9340
0.1159 -3.5360 -1.1279
7.6174 1.1333 3.3422
Pu O Au
2 2 2
Direct
0.0903 0.0903 0.1805 Pu
0.9097 0.9097 0.8195 Pu
0.0000 0.5000 0.0000 O
0.5000 0.0000 0.0000 O
0.7063 0.7063 0.4125 Au
0.2937 0.2937 0.5875 Au
```

Output
Its space group is No. 139. The value obtained for the distance to the lowest polymorph of the same formula is 38.0 kJ/mol of atoms.

=====

Record 6
The following is a PBE-GGA calculation of crystalline Rb3Pu2AuO9 at its relaxed geometry, from Alexandria via LeMat-Bulk.

The structure in POSCAR format:
```
Rb3Pu2AuO9
1.0
6.1294 0.0000 0.0000
-3.0647 5.3083 0.0000
0.0000 0.0000 7.5986
Rb Pu Au O
3 2 1 9
Direct
0.3333 0.6667 0.6507 Rb
0.0000 0.0000 0.0000 Rb
0.6667 0.3333 0.3493 Rb
0.3333 0.6667 0.1594 Pu
0.6667 0.3333 0.8406 Pu
0.0000 0.0000 0.5000 Au
0.8176 0.1824 0.6926 O
0.8176 0.6352 0.6926 O
0.3648 0.1824 0.6926 O
0.6352 0.8176 0.3074 O
0.1824 0.3648 0.3074 O
0.1824 0.8176 0.3074 O
0.5000 0.0000 0.0000 O
0.0000 0.5000 0.0000 O
0.5000 0.5000 0.0000 O
```

Output
Its space group is No. 164.

=====

Record 7
The following is a PBE-GGA calculation of crystalline Rb2Pu3AuO12 at its relaxed geometry, from Alexandria via LeMat-Bulk.

The structure in POSCAR format:
```
Rb2Pu3AuO12
1.0
7.5400 -0.2209 -0.1567
3.5316 6.6655 -0.1567
3.5316 2.0557 6.3425
Rb Pu Au O
2 3 1 12
Direct
0.6219 0.6219 0.6219 Rb
0.3781 0.3781 0.3781 Rb
0.5000 0.0000 0.0000 Pu
0.0000 0.5000 0.0000 Pu
0.0000 0.0000 0.5000 Pu
0.0000 0.0000 0.0000 Au
0.3073 0.3073 0.9226 O
0.9143 0.9143 0.3594 O
0.3594 0.9143 0.9143 O
0.9226 0.3073 0.3073 O
0.9143 0.3594 0.9143 O
0.3073 0.9226 0.3073 O
0.6927 0.6927 0.0774 O
0.0857 0.0857 0.6406 O
0.6406 0.0857 0.0857 O
0.0774 0.6927 0.6927 O
0.0857 0.6406 0.0857 O
0.6927 0.0774 0.6927 O
```

Output
Its space group is No. 166.

=====

Record 8
The following is a PBE-GGA calculation of crystalline Rb2PuAu2O6 at its relaxed geometry, from Alexandria via LeMat-Bulk.

The structure in POSCAR format:
```
Rb2PuAu2O6
1.0
6.4227 0.0000 0.0000
3.2114 5.5622 0.0000
3.2114 1.8541 5.8445
Rb Pu Au O
2 1 2 6
Direct
0.7836 0.7836 0.6492 Rb
0.2164 0.2164 0.3508 Rb
0.0000 0.0000 0.0000 Pu
0.4121 0.4121 0.7636 Au
0.5879 0.5879 0.2364 Au
0.7843 0.7843 0.2148 O
0.2167 0.7843 0.2148 O
0.7843 0.2167 0.2148 O
0.2157 0.7833 0.7852 O
0.7833 0.2157 0.7852 O
0.2157 0.2157 0.7852 O
```

Output
Its space group is No. 166.

=====

Record 9
The following is a PBE-GGA calculation of crystalline RbPuAu2O6 at its relaxed geometry, from Alexandria via LeMat-Bulk.

The structure in POSCAR format:
```
RbPuAu2O6
1.0
-1.3617 -7.6899 -4.7687
6.9261 -3.1326 -1.6862
2.1240 -6.0593 4.4046
Rb Pu Au O
2 2 4 12
Direct
0.2500 0.7510 0.2490 Rb
0.7500 0.2490 0.7510 Rb
0.2500 0.2510 0.7490 Pu
0.7500 0.7490 0.2510 Pu
0.2498 0.7511 0.7490 Au
0.2502 0.2510 0.2489 Au
0.7502 0.2489 0.2510 Au
0.7498 0.7490 0.7511 Au
0.2625 0.9475 0.8268 O
0.2375 0.1732 0.0525 O
0.7375 0.0525 0.1732 O
0.7625 0.8268 0.9475 O
0.5375 0.7925 0.2945 O
0.9625 0.7055 0.2075 O
0.4625 0.2075 0.7055 O
0.0375 0.2945 0.7925 O
0.2372 0.5546 0.6713 O
0.2628 0.3287 0.4454 O
0.7628 0.4454 0.3287 O
0.7372 0.6713 0.5546 O
```

Output
Its space group is No. 15.

=====

Record 10
The following is a PBE-GGA calculation of crystalline RbPuAuO5 at its relaxed geometry, from Alexandria via LeMat-Bulk.

The structure in POSCAR format:
```
RbPuAuO5
1.0
-1.2175 5.1373 3.3146
-4.8701 -3.6422 -1.3702
3.4620 -4.5309 5.7920
Rb Pu Au O
2 2 2 10
Direct
0.3169 0.6831 0.2500 Rb
0.6831 0.3169 0.7500 Rb
0.0000 0.0000 0.5000 Pu
0.0000 0.0000 0.0000 Pu
0.6738 0.3262 0.2500 Au
0.3262 0.6738 0.7500 Au
0.0520 0.9480 0.2500 O
0.9480 0.0520 0.7500 O
0.8571 0.2161 0.0760 O
0.1429 0.7839 0.9240 O
0.7839 0.1429 0.4240 O
0.2161 0.8571 0.5760 O
0.7178 0.6529 0.4258 O
0.2822 0.3471 0.5742 O
0.3471 0.2822 0.0742 O
0.6529 0.7178 0.9258 O
```

Output
Its space group is No. 15.

=====

Record 11
The following is a PBE-GGA calculation of crystalline PuRhAuO6 at its relaxed geometry, from Alexandria via LeMat-Bulk.

The structure in POSCAR format:
```
PuRhAuO6
1.0
-2.2631 -1.7319 -4.4578
3.6742 -2.9412 2.4173
-6.9212 -4.3645 5.2093
Pu Rh Au O
2 2 2 12
Direct
0.6667 0.3333 0.2500 Pu
0.3333 0.6667 0.7500 Pu
0.3333 0.6667 0.2500 Rh
0.6667 0.3333 0.7500 Rh
0.0000 0.0000 0.0000 Au
0.0000 0.0000 0.5000 Au
0.6435 0.6495 0.1339 O
0.0060 0.3565 0.1339 O
0.3565 0.0060 0.6339 O
0.9940 0.6435 0.8661 O
0.3505 0.3565 0.3661 O
0.0060 0.6495 0.3661 O
0.6495 0.0060 0.8661 O
0.6435 0.9940 0.3661 O
0.9940 0.3505 0.6339 O
0.3505 0.9940 0.1339 O
0.6495 0.6435 0.6339 O
0.3565 0.3505 0.8661 O
```

Output
Its space group is No. 163.

=====

Record 12
The following is a PBE-GGA calculation of crystalline Pu2AuS2O2 at its relaxed geometry, from Alexandria via LeMat-Bulk.

The structure in POSCAR format:
```
Pu2AuS2O2
1.0
3.6948 0.0000 0.0000
-1.8474 3.1998 0.0000
0.0000 0.0000 12.8624
Pu Au S O
2 1 2 2
Direct
0.6667 0.3333 0.2301 Pu
0.3333 0.6667 0.7699 Pu
0.0000 0.0000 0.0000 Au
0.0000 0.0000 0.3551 S
0.0000 0.0000 0.6449 S
0.6667 0.3333 0.8181 O
0.3333 0.6667 0.1819 O
```

Output
Its space group is No. 164.

=====

For the records above, the corresponding formation energy from raw total energies values read -2.188 -0.508 -1.715 -0.865 -1.486 -1.895 -2.013 -1.314 -1.212 -1.530 -1.249 -1.585 eV per atom.